CsCrSn2F8: optimized geometry, PBE with a Hubbard U.

Computed properties:
magnetic moment	0.2504	μB/atom
total DFT energy (no corrections)	-5.138	eV per atom

Cell lengths 5.4966, 5.2164, 8.2352 Å; angles 91.77, 95.54, 85.51 degrees
With the nearest neighbours (Å) after each atom.
Fractional positions:
Cs (0.0000, 0.0000, 0.5000)  6 F 2.90-3.07
Cr (0.0000, 0.0000, 0.0000)  6 F 1.96-1.97
Sn (0.5173, 0.5121, 0.7828)  2 F 2.06-2.16
Sn (0.4827, 0.4879, 0.2172)  2 F 2.06-2.16
F (0.1187, 0.7530, 0.1708)  1 Cr 1.97
F (0.7333, 0.7798, 0.9284)  1 Cr 1.97, 1 Sn 2.16
F (0.7946, 0.1717, 0.1581)  1 Cr 1.96
F (0.8813, 0.2470, 0.8292)  1 Cr 1.97
F (0.2667, 0.2202, 0.0716)  1 Cr 1.97, 1 Sn 2.16
F (0.2054, 0.8283, 0.8419)  1 Cr 1.96
F (0.6061, 0.7071, 0.5857)  1 Sn 2.06
F (0.3939, 0.2929, 0.4143)  1 Sn 2.06